The following is a DFT calculation (PBE) of an optimized crystal structure of ErSiIr.

Values from the calculation:
Final energy ... -6.609 eV per atom
Crystal system ... hexagonal

Unit cell a=7.7899 b=7.7899 c=3.0492 alpha=90.00 beta=90.00 gamma=120.00
With the nearest neighbours (Å) after each atom.
Space group P-62m (No. 189)
Inequivalent atoms, fractional coordinates:
Er: 0.0000 0.2881 0.0000 (multiplicity 3)  4 Si 2.71-2.79, 2 Ir 2.91
Si: 0.0000 0.0000 0.5000 (multiplicity 1)  6 Er 2.71
Si: 0.3333 0.6667 0.0000 (multiplicity 2)  3 Er 2.79, 6 Ir 2.84, 2 Si 3.05
Ir: 0.0000 0.6068 0.5000 (multiplicity 3)  5 Si 2.84-3.06, 6 Er 2.91-3.14, 2 Ir 3.05

The following is a DFT calculation (PBE) of an optimized crystal structure of ErSiIr.

Values from the calculation:
Final energy ... -7.371 eV per atom
Crystal system ... orthorhombic

Unit cell a=6.8031 b=4.2137 c=7.4260 alpha=90.00 beta=90.00 gamma=90.00
With the nearest neighbours (Å) after each atom.
Space group Pnma (No. 62)
Inequivalent atoms, fractional coordinates:
Er: 0.0028 0.2500 0.1876 (multiplicity 4)  5 Si 2.92-2.99, 6 Ir 2.99-3.25
Si: 0.2034 0.7500 0.3896 (multiplicity 4)  4 Ir 2.48-2.57
Ir: 0.1584 0.2500 0.5670 (multiplicity 4)  4 Si 2.48-2.57

The following is a DFT calculation (PBE) of an optimized crystal structure of Er3Si3Ir.

Values from the calculation:
Final energy ... -6.485 eV per atom
Crystal system ... monoclinic

Unit cell a=10.4905 b=4.2027 c=13.4231 alpha=90.00 beta=110.91 gamma=90.00
With the nearest neighbours (Å) after each atom.
Space group C2/m (No. 12)
Inequivalent atoms, fractional coordinates:
Er: 0.0192 0.0000 0.3740 (multiplicity 4)  6 Si 2.87-3.05, 4 Ir 3.02-3.09
Er: 0.1023 0.0000 0.9212 (multiplicity 4)  7 Si 2.91-3.11
Er: 0.2428 0.0000 0.2277 (multiplicity 4)  6 Si 2.87-3.13
Si: 0.0455 0.5000 0.2373 (multiplicity 4)  1 Si 2.53, 1 Ir 2.56
Si: 0.1146 0.5000 0.0747 (multiplicity 4)  2 Si 2.52-2.53
Si: 0.1298 0.5000 0.5441 (multiplicity 4)  3 Ir 2.43-2.46, 1 Si 2.55
Ir: 0.2470 0.5000 0.4143 (multiplicity 4)  4 Si 2.43-2.56

The following is a DFT calculation (PBE) of an optimized crystal structure of ErSiIr.

Values from the calculation:
Final energy ... -7.309 eV per atom
Crystal system ... hexagonal

Unit cell a=6.7822 b=6.7822 c=3.9484 alpha=90.00 beta=90.00 gamma=120.00
With the nearest neighbours (Å) after each atom.
Space group P-62m (No. 189)
Inequivalent atoms, fractional coordinates:
Er: 0.0000 0.5818 0.0000 (multiplicity 3)  5 Si 2.84, 6 Ir 3.04-3.16
Si: 0.0000 0.0000 0.0000 (multiplicity 1)  6 Ir 2.56, 3 Er 2.84
Si: 0.3333 0.6667 0.5000 (multiplicity 2)  3 Ir 2.63, 6 Er 2.84
Ir: 0.0000 0.2414 0.5000 (multiplicity 3)  4 Si 2.56-2.63, 2 Ir 2.84

The following is a DFT calculation (PBE) of an optimized crystal structure of Er2Si3Ir.

Values from the calculation:
Final energy ... -6.616 eV per atom
Crystal system ... orthorhombic

Unit cell a=7.9769 b=8.1348 c=14.0756 alpha=90.00 beta=90.00 gamma=90.00
With the nearest neighbours (Å) after each atom.
Space group Fmmm (No. 69)
Inequivalent atoms, fractional coordinates:
Er: 0.2468 0.0000 0.0000 (multiplicity 8)  2 Ir 3.06, 10 Si 3.07-3.10
Er: 0.2500 0.2500 0.2500 (multiplicity 8)  8 Si 3.08, 4 Ir 3.08
Si: 0.0000 0.0000 0.3330 (multiplicity 8)  2 Si 2.34, 1 Ir 2.35
Si: 0.0000 0.2489 0.4165 (multiplicity 16)  2 Si 2.34-2.35, 1 Ir 2.35
Ir: 0.0000 0.0000 0.1661 (multiplicity 8)  3 Si 2.35

The following is a DFT calculation (PBE) of an optimized crystal structure of ErSi4Ir3.

Values from the calculation:
Final energy ... -7.118 eV per atom
Crystal system ... monoclinic

Unit cell a=5.6070 b=3.8138 c=6.2421 alpha=90.00 beta=97.34 gamma=90.00
With the nearest neighbours (Å) after each atom.
Space group Pm (No. 6)
Inequivalent atoms, fractional coordinates:
Er: 0.0000 0.0000 0.0000 (multiplicity 1)  7 Si 2.77-3.09, 4 Ir 2.99-3.02
Si: 0.0908 0.5000 0.6580 (multiplicity 1)  4 Ir 2.41-2.66, 3 Si 2.50-2.53
Si: 0.2539 0.5000 0.3039 (multiplicity 1)  4 Ir 2.41-2.46, 3 Si 2.50-2.67
Si: 0.5397 0.0000 0.1793 (multiplicity 1)  5 Ir 2.42-2.53, 3 Si 2.67-2.68
Si: 0.7970 0.0000 0.5712 (multiplicity 1)  3 Ir 2.37-2.52, 2 Si 2.53
Ir: 0.3703 0.0000 0.5283 (multiplicity 1)  4 Si 2.37-2.49
Ir: 0.4090 0.5000 0.9570 (multiplicity 1)  4 Si 2.41-2.43
Ir: 0.8167 0.5000 0.3105 (multiplicity 1)  6 Si 2.46-2.53

The following is a DFT calculation (PBE) of an optimized crystal structure of ErSiIr.

Values from the calculation:
Final energy ... -7.248 eV per atom
Crystal system ... hexagonal

Unit cell a=4.1047 b=4.1047 c=7.9553 alpha=90.00 beta=90.00 gamma=120.00
With the nearest neighbours (Å) after each atom.
Space group P6_3/mmc (No. 194)
Inequivalent atoms, fractional coordinates:
Er: 0.0000 0.0000 0.0000 (multiplicity 2)  6 Ir 3.09, 6 Si 3.09
Si: 0.3333 0.6667 0.2500 (multiplicity 2)  3 Ir 2.37
Ir: 0.3333 0.6667 0.7500 (multiplicity 2)  3 Si 2.37

The following is a DFT calculation (PBE) of an optimized crystal structure of Er5Si10Ir4.

Values from the calculation:
Final energy ... -6.812 eV per atom
Crystal system ... tetragonal

Unit cell a=12.6080 b=12.6080 c=4.2370 alpha=90.00 beta=90.00 gamma=90.00
With the nearest neighbours (Å) after each atom.
Space group P4/mbm (No. 127)
Inequivalent atoms, fractional coordinates:
Er: 0.0000 0.0000 0.0000 (multiplicity 2)  8 Si 2.89, 4 Ir 3.10
Er: 0.1152 0.3848 0.5000 (multiplicity 4)  10 Si 3.18-3.24, 4 Ir 3.24
Er: 0.1748 0.6748 0.5000 (multiplicity 4)  8 Si 2.87-3.04, 4 Ir 3.06
Si: 0.0026 0.8440 0.5000 (multiplicity 8)  2 Ir 2.41
Si: 0.0662 0.5662 0.0000 (multiplicity 4)  1 Si 2.36, 2 Ir 2.45
Si: 0.1644 0.2009 0.0000 (multiplicity 8)  2 Ir 2.39-2.50, 1 Si 2.40
Ir: 0.0196 0.7548 0.0000 (multiplicity 8)  5 Si 2.39-2.50

The following is a DFT calculation (PBE) of an optimized crystal structure of ErSiIr.

Values from the calculation:
Final energy ... -6.885 eV per atom
Crystal system ... cubic

Unit cell a=6.2709 b=6.2709 c=6.2709 alpha=90.00 beta=90.00 gamma=90.00
With the nearest neighbours (Å) after each atom.
Space group F-43m (No. 216)
Inequivalent atoms, fractional coordinates:
Er: 0.0000 0.0000 0.0000 (multiplicity 4)  4 Ir 2.72
Si: 0.0000 0.0000 0.5000 (multiplicity 4)  4 Ir 2.72
Ir: 0.2500 0.2500 0.7500 (multiplicity 4)  4 Er 2.72, 4 Si 2.72

The following is a DFT calculation (PBE) of an optimized crystal structure of ErSiIr.

Values from the calculation:
Final energy ... -6.599 eV per atom
Crystal system ... hexagonal

Unit cell a=4.6708 b=4.6708 c=5.6759 alpha=90.00 beta=90.00 gamma=120.00
With the nearest neighbours (Å) after each atom.
Space group P6_3/mmc (No. 194)
Inequivalent atoms, fractional coordinates:
Er: 0.3333 0.6667 0.2500 (multiplicity 2)  5 Si 2.70-2.84
Si: 0.3333 0.6667 0.7500 (multiplicity 2)  5 Er 2.70-2.84
Ir: 0.0000 0.0000 0.0000 (multiplicity 2)  2 Ir 2.84, 6 Er 3.05, 6 Si 3.05

The following is a DFT calculation (PBE) of an optimized crystal structure of TbErSi2Ir.

Values from the calculation:
Final energy ... -6.748 eV per atom
Crystal system ... monoclinic

Unit cell a=10.3840 b=4.2455 c=10.0986 alpha=90.00 beta=117.52 gamma=90.00
With the nearest neighbours (Å) after each atom.
Space group C2/m (No. 12)
Inequivalent atoms, fractional coordinates:
Tb: 0.1911 0.0000 0.1137 (multiplicity 4)  6 Si 2.98-3.07, 2 Ir 3.05
Er: 0.0060 0.0000 0.3279 (multiplicity 4)  4 Ir 2.95-3.16, 7 Si 2.95-3.27
Si: 0.0113 0.5000 0.8829 (multiplicity 4)  1 Si 2.48, 1 Ir 2.51
Si: 0.1429 0.5000 0.5545 (multiplicity 4)  3 Ir 2.45-2.65, 1 Si 2.65
Ir: 0.2304 0.5000 0.3462 (multiplicity 4)  4 Si 2.45-2.65

The following is a DFT calculation (PBE) of an optimized crystal structure of ErSi2TcIr.

Values from the calculation:
Final energy ... -7.816 eV per atom
Crystal system ... tetragonal

Unit cell a=4.1893 b=4.1893 c=9.6081 alpha=90.00 beta=90.00 gamma=90.00
With the nearest neighbours (Å) after each atom.
Space group I-4m2 (No. 119)
Inequivalent atoms, fractional coordinates:
Er: 0.0000 0.0000 0.0000 (multiplicity 2)  4 Tc 3.19, 4 Ir 3.19, 8 Si 3.21
Si: 0.0000 0.0000 0.3724 (multiplicity 4)  2 Tc 2.40, 2 Ir 2.40, 1 Si 2.45
Tc: 0.0000 0.5000 0.7500 (multiplicity 2)  4 Si 2.40
Ir: 0.0000 0.5000 0.2500 (multiplicity 2)  4 Si 2.40

The following is a DFT calculation (PBE) of an optimized crystal structure of ErTmSi2Ir.

Values from the calculation:
Final energy ... -6.730 eV per atom
Crystal system ... monoclinic

Unit cell a=10.4628 b=4.1926 c=9.9231 alpha=90.00 beta=118.66 gamma=90.00
With the nearest neighbours (Å) after each atom.
Space group C2/m (No. 12)
Inequivalent atoms, fractional coordinates:
Er: 0.1846 0.0000 0.1087 (multiplicity 4)  6 Si 2.86-3.10
Tm: 0.0048 0.0000 0.6770 (multiplicity 4)  6 Si 2.86-3.02, 4 Ir 3.03-3.07
Si: 0.0128 0.5000 0.8777 (multiplicity 4)  1 Ir 2.54, 1 Si 2.57
Si: 0.1392 0.5000 0.5649 (multiplicity 4)  3 Ir 2.43-2.49, 1 Si 2.56
Ir: 0.2267 0.5000 0.3714 (multiplicity 4)  4 Si 2.43-2.54

The following is a DFT calculation (PBE) of an optimized crystal structure of SmErZnIr2.

Values from the calculation:
Crystal system ... orthorhombic
ΔH_f (0 K) ... -17.53 kcal/mol of atoms

Unit cell a=4.1625 b=5.8608 c=8.3701 alpha=90.00 beta=90.00 gamma=90.00
With the nearest neighbours (Å) after each atom.
Space group Imm2 (No. 44)
Inequivalent atoms, fractional coordinates:
Sm: 0.0000 0.0000 0.0000 (multiplicity 2)  6 Ir 2.94-3.01, 2 Zn 3.26
Er: 0.0000 0.0000 0.4058 (multiplicity 2)  6 Ir 2.95-3.00, 2 Zn 3.22
Zn: 0.0000 0.5000 0.2000 (multiplicity 2)  4 Ir 2.61
Ir: 0.0000 0.2698 0.7034 (multiplicity 4)  2 Zn 2.61, 1 Ir 2.70

The following is a DFT calculation (PBE) of an optimized crystal structure of ErSnIr.

Values from the calculation:
Final energy ... -6.058 eV per atom
Crystal system ... hexagonal

Unit cell a=8.2167 b=8.2167 c=3.1697 alpha=90.00 beta=90.00 gamma=120.00
With the nearest neighbours (Å) after each atom.
Space group P-62m (No. 189)
Inequivalent atoms, fractional coordinates:
Er: 0.0000 0.3027 0.0000 (multiplicity 3)  4 Sn 2.87-2.95, 2 Er 3.17, 6 Ir 3.18-3.19
Sn: 0.0000 0.0000 0.5000 (multiplicity 1)  6 Er 2.95, 3 Ir 2.97, 2 Sn 3.17
Sn: 0.3333 0.6667 0.0000 (multiplicity 2)  3 Er 2.87, 6 Ir 3.07, 2 Sn 3.17
Ir: 0.0000 0.6381 0.5000 (multiplicity 3)  5 Sn 2.97-3.07, 2 Ir 3.17, 6 Er 3.18-3.19

The following is a DFT calculation (PBE) of an optimized crystal structure of ErSnIr.

Values from the calculation:
Final energy ... -6.659 eV per atom
Crystal system ... hexagonal

Unit cell a=7.4908 b=7.4908 c=3.8825 alpha=90.00 beta=90.00 gamma=120.00
With the nearest neighbours (Å) after each atom.
Space group P-62m (No. 189)
Inequivalent atoms, fractional coordinates:
Er: 0.0000 0.5947 0.0000 (multiplicity 3)  5 Ir 2.99-3.04, 6 Sn 3.16-3.30
Sn: 0.0000 0.2617 0.5000 (multiplicity 3)  4 Ir 2.76-2.80
Ir: 0.0000 0.0000 0.0000 (multiplicity 1)  6 Sn 2.76, 3 Er 3.04
Ir: 0.3333 0.6667 0.5000 (multiplicity 2)  3 Sn 2.80, 6 Er 2.99

The following is a DFT calculation (PBE) of an optimized crystal structure of Er2Sn2Ir.

Values from the calculation:
Final energy ... -5.973 eV per atom
Crystal system ... monoclinic

Unit cell a=10.8439 b=4.4707 c=10.8914 alpha=90.00 beta=115.80 gamma=90.00
With the nearest neighbours (Å) after each atom.
Space group C2/m (No. 12)
Inequivalent atoms, fractional coordinates:
Er: 0.0037 0.0000 0.1729 (multiplicity 4)  1 Ir 2.95, 4 Sn 3.13-3.18
Er: 0.1855 0.0000 0.6300 (multiplicity 4)  2 Ir 2.97, 6 Sn 3.12-3.32
Sn: 0.0340 0.5000 0.3852 (multiplicity 4)  1 Ir 2.72, 1 Sn 2.90
Sn: 0.1544 0.5000 0.0468 (multiplicity 4)  3 Ir 2.67-2.84
Ir: 0.2228 0.5000 0.8232 (multiplicity 4)  4 Sn 2.67-2.84, 3 Er 2.95-2.97

The following is a DFT calculation (PBE) of an optimized crystal structure of ErSnIr.

Values from the calculation:
Final energy ... -6.498 eV per atom
Crystal system ... hexagonal

Unit cell a=7.0991 b=7.0991 c=4.3050 alpha=90.00 beta=90.00 gamma=120.00
With the nearest neighbours (Å) after each atom.
Space group P-62m (No. 189)
Inequivalent atoms, fractional coordinates:
Er: 0.0000 0.5671 0.0000 (multiplicity 3)  5 Sn 3.01-3.07, 2 Ir 3.17
Sn: 0.0000 0.0000 0.0000 (multiplicity 1)  6 Ir 2.74
Sn: 0.3333 0.6667 0.5000 (multiplicity 2)  3 Ir 2.76, 6 Er 3.01
Ir: 0.0000 0.2391 0.5000 (multiplicity 3)  4 Sn 2.74-2.76, 2 Ir 2.94

The following is a DFT calculation (PBE) of an optimized crystal structure of TbErSn2Ir.

Values from the calculation:
Final energy ... -5.991 eV per atom
Crystal system ... monoclinic

Unit cell a=10.9053 b=4.5011 c=10.8887 alpha=90.00 beta=115.78 gamma=90.00
With the nearest neighbours (Å) after each atom.
Space group C2/m (No. 12)
Inequivalent atoms, fractional coordinates:
Tb: 0.1871 0.0000 0.1283 (multiplicity 4)  2 Ir 3.01, 6 Sn 3.14-3.34
Er: 0.0021 0.0000 0.6712 (multiplicity 4)  1 Ir 2.96, 4 Sn 3.14-3.18
Sn: 0.0302 0.5000 0.8824 (multiplicity 4)  1 Ir 2.72, 1 Sn 2.91
Sn: 0.1541 0.5000 0.5471 (multiplicity 4)  3 Ir 2.67-2.84
Ir: 0.2255 0.5000 0.3258 (multiplicity 4)  4 Sn 2.67-2.84, 1 Er 2.96

The following is a DFT calculation (PBE) of an optimized crystal structure of ErTmSn2Ir.

Values from the calculation:
Final energy ... -5.950 eV per atom
Crystal system ... monoclinic

Unit cell a=10.8222 b=4.4581 c=10.8971 alpha=90.00 beta=115.79 gamma=90.00
With the nearest neighbours (Å) after each atom.
Space group C2/m (No. 12)
Inequivalent atoms, fractional coordinates:
Er: 0.0037 0.0000 0.1730 (multiplicity 4)  1 Ir 2.95, 4 Sn 3.13-3.17
Tm: 0.1856 0.0000 0.6308 (multiplicity 4)  2 Ir 2.96, 6 Sn 3.11-3.31
Sn: 0.0351 0.5000 0.3860 (multiplicity 4)  1 Ir 2.72, 1 Sn 2.90
Sn: 0.1544 0.5000 0.0466 (multiplicity 4)  3 Ir 2.67-2.84
Ir: 0.2221 0.5000 0.8225 (multiplicity 4)  4 Sn 2.67-2.84, 1 Er 2.95, 2 Tm 2.96